The following is a DFT calculation (PBE-GGA) of Zn3SiB after structural relaxation.

```
Zn3SiB
1.0
-0.6231 4.1765 0.1341
-2.3660 -0.4643 3.4693
3.4444 0.4366 2.4074
B Zn Si
1 3 1
Direct
0.0000 0.0000 0.0000 B
0.5000 0.0000 0.0000 Zn
0.0000 0.0000 0.5000 Zn
0.0000 0.5000 0.0000 Zn
0.5000 0.5000 0.5000 Si
```

Energy relative to the lowest polymorph listed for this composition in meV per atom: 0.0
Formation energy from raw total energies in eV per atom: 0.5685